[1]
First-principles (PBE) data for an optimized crystal structure of NpFeAs, as listed in Alexandria via LeMat-Bulk.

Symmetry = Cmcm, No. 63

```
NpFeAs
1.0
3.843 0.000 0.000
0.000 3.999 0.170
-1.922 -0.258 6.070
Fe As Np
2 2 2
direct
0.239 0.750 0.478
0.761 0.250 0.522
0.860 0.750 0.720
0.140 0.250 0.280
0.440 0.250 0.880
0.560 0.750 0.120
```


[2]
First-principles (PBE) data for an optimized crystal structure of Sm6DyIn4, as listed in Alexandria via LeMat-Bulk.

Symmetry = I-42m, No. 121

```
Sm6DyIn4
1.0
8.130 -0.340 -0.500
-4.060 7.052 0.500
-4.060 -2.128 6.742
Sm Dy In
6 1 4
direct
0.500 0.500 0.000
0.000 0.529 0.906
0.377 0.471 0.471
0.500 0.000 0.500
0.000 0.906 0.529
0.623 0.094 0.094
0.000 0.000 0.000
0.674 0.403 0.403
0.000 0.271 0.597
0.000 0.597 0.271
0.326 0.729 0.729
```


[3]
First-principles (PBE) data for an optimized crystal structure of LiCoBi2H, as listed in Alexandria via LeMat-Bulk.

Symmetry = P4/mmm, No. 123

```
LiCoBi2H
1.0
4.911 0.000 0.000
0.000 4.767 0.000
0.000 0.000 4.911
Bi Co Li H
2 1 1 1
direct
0.000 0.000 0.500
0.500 0.000 0.000
0.000 0.000 0.000
0.000 0.500 0.000
0.500 0.500 0.500
```


DOS at the Fermi energy list, top to bottom, in states/eV/atom: 1.42; 1.27; 0.62
Electronic total energy list, top to bottom, in eV/atom: -9.021; -4.109; -3.480